[1]
This record from the Alexandria database describes a geometry-optimized Y2Co2I structure. The functional is PBEsol.

a = 3.873 Å, b = 3.873 Å, c = 16.653 Å
α = 90.00°, β = 90.00°, γ = 120.00°
Site moments in Bohr magnetons follow the coordinates.
Sites, in units of the cell vectors:
Co 0.667 0.333 0.001  0.15
Co 0.667 0.333 0.499  0.15
I 0.667 0.333 0.750  0.00
Co 0.333 0.667 0.999  0.15
Y 0.000 0.000 0.605  -0.02
Co 0.333 0.667 0.501  0.15
Y 0.000 0.000 0.395  -0.02
Y 0.000 0.000 0.895  -0.02
Y 0.000 0.000 0.105  -0.02
I 0.333 0.667 0.250  0.00

Computed properties:
Energy relative to the elements, uncorrected (meV per atom): -621
DFT total energy (Ha/atom): -0.250



[2]
This record from the Alexandria database describes a geometry-optimized YCo2I structure. The functional is PBEsol.

a = 4.508 Å, b = 4.508 Å, c = 8.631 Å
α = 105.14°, β = 105.14°, γ = 90.00°
Sites, in units of the cell vectors:
Y 0.500 0.500 0.000
Y 0.750 0.250 0.500
I 0.250 0.750 0.500
Co 0.625 0.796 0.750
I 0.000 0.000 0.000
Co 0.204 0.875 0.250
Co 0.046 0.375 0.250
Co 0.125 0.954 0.750

Computed properties:
Energy relative to the elements, uncorrected (meV per atom): 377
DFT total energy (Ha/atom): -0.207



[3]
This record from the Alexandria database describes a geometry-optimized ZnCoI2 structure. The functional is PBEsol.

a = 5.007 Å, b = 5.007 Å, c = 5.007 Å
α = 60.00°, β = 60.00°, γ = 60.00°
Site moments in Bohr magnetons follow the coordinates.
Sites, in units of the cell vectors:
Zn 0.500 0.500 0.500  0.02
I 0.750 0.750 0.750  0.12
Co 0.000 0.000 0.000  2.04
I 0.250 0.250 0.250  0.12

Computed properties:
Energy relative to the elements, uncorrected (meV per atom): 641
DFT total energy (Ha/atom): -0.095